[1]
The following is a DFT calculation (PBE) of a relaxed TlNi2Au crystal.

The structure in POSCAR format:
```
TlNi2Au
1.0
-2.015 2.015 9.003
2.015 -2.015 9.003
2.015 2.015 -9.003
Tl Ni Au
2 4 2
Direct
0.000 0.000 0.000
0.750 0.250 0.500
0.191 0.625 0.066
0.375 0.441 0.566
0.559 0.125 0.934
0.875 0.809 0.434
0.250 0.750 0.500
0.500 0.500 0.000
```

As for the volume: 18.3 Å³ per atom. The calculation puts the total DFT energy (no corrections) at -30.57 eV per cell. The mass density comes out at 11.779 g cm⁻³. As for the energy relative to the elements: 480 meV/atom.

---

[2]
The following is a DFT calculation (PBE) of a relaxed Tl2NiAu crystal.

The structure in POSCAR format:
```
Tl2NiAu
1.0
3.752 -3.193 0.000
3.752 3.193 0.000
-0.548 0.000 3.490
Tl Ni Au
2 1 1
Direct
0.000 0.500 0.000
0.500 0.000 0.000
0.000 0.000 0.500
0.500 0.500 0.500
```

For the energy above the most stable polymorph in this dataset, the calculation gives 179.5 meV/atom. As for the volume: 20.9 Å³ per atom. The calculation puts the total DFT energy (no corrections) at -12.53 eV per cell. The mass density comes out at 13.192 g cm⁻³. As for the energy relative to the elements: 314 meV/atom.

---

[3]
The following is a DFT calculation (PBE) of a relaxed TlNiAu4 crystal.

The structure in POSCAR format:
```
TlNiAu4
1.0
0.000 3.921 3.921
3.921 0.000 3.921
3.921 3.921 0.000
Tl Ni Au
1 1 4
Direct
0.000 0.000 0.000
0.250 0.250 0.250
0.126 0.625 0.625
0.625 0.126 0.625
0.625 0.625 0.126
0.625 0.625 0.625
```

As for the volume: 20.1 Å³ per atom. The calculation puts the total DFT energy (no corrections) at -19.50 eV per cell. The mass density comes out at 14.469 g cm⁻³. As for the energy relative to the elements: 292 meV/atom.

---

[4]
The following is a DFT calculation (PBE) of a relaxed Tl2NiAu crystal.

The structure in POSCAR format:
```
Tl2NiAu
1.0
3.328 0.000 0.000
0.000 3.328 0.000
0.000 0.000 7.880
Tl Ni Au
2 1 1
Direct
0.000 0.000 0.000
0.500 0.500 0.357
0.500 0.500 0.785
0.000 0.000 0.621
```

For the energy above the most stable polymorph in this dataset, the calculation gives 32.6 meV/atom. As for the volume: 21.8 Å³ per atom. The calculation puts the total DFT energy (no corrections) at -13.12 eV per cell. The mass density comes out at 12.643 g cm⁻³. As for the energy relative to the elements: 167 meV/atom.

---

[5]
The following is a DFT calculation (PBE) of a relaxed Zr2TlNiAu crystal.

The structure in POSCAR format:
```
Zr2TlNiAu
1.0
5.209 0.000 0.000
0.000 5.209 0.000
0.000 0.000 5.093
Zr Tl Ni Au
2 1 1 1
Direct
0.000 0.500 0.000
0.500 0.000 0.000
0.000 0.000 0.500
0.500 0.500 0.500
0.000 0.000 0.000
```

As for the volume: 27.6 Å³ per atom. The calculation puts the total DFT energy (no corrections) at -23.21 eV per cell. The mass density comes out at 7.720 g cm⁻³. As for the energy relative to the elements: 1062 meV/atom.

---

[6]
The following is a DFT calculation (PBE) of a relaxed Tm8Ni3Au2 crystal.

The structure in POSCAR format:
```
Tm8Ni3Au2
1.0
7.185 -3.569 0.000
7.185 3.569 0.000
-1.962 0.000 6.413
Tm Ni Au
8 3 2
Direct
0.094 0.094 0.408
0.141 0.632 0.115
0.359 0.359 0.625
0.368 0.859 0.885
0.632 0.141 0.115
0.641 0.641 0.375
0.859 0.368 0.885
0.906 0.906 0.592
0.314 0.686 0.500
0.500 0.500 0.000
0.686 0.314 0.500
0.237 0.237 0.189
0.763 0.763 0.811
```

As for the volume: 25.3 Å³ per atom. The calculation puts the total DFT energy (no corrections) at -64.68 eV per cell. The mass density comes out at 9.702 g cm⁻³. As for the energy relative to the elements: -385 meV/atom.